[1]
Below is a relaxed structure of NaCr2FeO8, with properties calculated at the GGA+U level.

Properties
relative energy among the computed polymorphs: 0 meV per atom

```
NaCr2FeO8
1.0
4.375 -2.785 0.000
4.375 2.785 0.000
-0.051 0.000 7.028
Na Cr Fe O
1 2 1 8
Direct
0.000 0.000 0.000
0.357 0.357 0.273
0.643 0.643 0.727
0.000 0.000 0.500
0.215 0.717 0.294
0.224 0.224 0.441
0.277 0.277 0.065
0.283 0.785 0.706
0.717 0.215 0.294
0.723 0.723 0.935
0.776 0.776 0.559
0.785 0.283 0.706
```

[2]
Below is a relaxed structure of Na2CrFeO, with properties calculated at the GGA+U level.

```
Na2CrFeO
1.0
5.348 0.000 0.000
0.000 5.348 0.000
0.000 0.000 4.848
Na Cr Fe O
2 1 1 1
Direct
0.000 0.500 0.000
0.500 0.000 0.000
0.000 0.000 0.500
0.000 0.000 0.000
0.500 0.500 0.500
```

[3]
Below is a relaxed structure of NaCr2FeO8, with properties calculated at the GGA+U level.

Properties
relative energy among the computed polymorphs: 254 meV per atom

```
NaCr2FeO8
1.0
5.306 0.000 0.000
-2.653 4.595 0.000
0.000 0.000 6.705
Na Cr Fe O
1 2 1 8
Direct
0.000 0.000 0.000
0.333 0.667 0.750
0.667 0.333 0.250
0.000 0.000 0.500
0.099 0.325 0.673
0.226 0.901 0.673
0.325 0.226 0.327
0.333 0.667 0.991
0.667 0.333 0.009
0.675 0.774 0.673
0.774 0.099 0.327
0.901 0.675 0.327
```

| no. | electronic total energy (eV/cell) | calculated density (g/cm3) |
| --- | --- | --- |
| 1 | -78.1 | 3.0 |
| 2 | -14.3 | 2.0 |
| 3 | -75.0 | 3.2 |